1.
The following is a DFT calculation (PBE) of an optimized crystal structure of Ce2GaTe4. Values from VASP.

Cell and atoms, written as Quantum ESPRESSO input:
```
&SYSTEM
  ibrav = 0, nat = 14, ntyp = 3
/
ATOMIC_SPECIES
Ce 140.12 Ce.upf
Ga 69.72 Ga.upf
Te 127.60 Te.upf
ATOMIC_POSITIONS crystal
Ce 0.2035 0.2500 0.0435
Ce 0.2615 0.2500 0.5696
Ce 0.7385 0.7500 0.4304
Ce 0.7965 0.7500 0.9565
Ga 0.2855 0.7500 0.3248
Ga 0.7145 0.2500 0.6752
Te 0.0033 0.0053 0.2623
Te 0.0033 0.4947 0.2623
Te 0.4202 0.7500 0.0668
Te 0.4387 0.7500 0.6507
Te 0.5613 0.2500 0.3493
Te 0.5798 0.2500 0.9332
Te 0.9967 0.5053 0.7377
Te 0.9967 0.9947 0.7377
CELL_PARAMETERS angstrom
7.1619 0.0000 0.0000
0.0000 7.3190 0.0000
-2.6220 0.0000 8.4374
```

Computed properties:
N(E_F) ... 14.83 states/eV/f.u.
Energy relative to the lowest polymorph listed for this composition ... 0.000 eV/atom
SG ... No. 11


2.
The following is a DFT calculation (PBE) of an optimized crystal structure of Pm3NpTl3Te8. Values from VASP.

Cell and atoms, written as Quantum ESPRESSO input:
```
&SYSTEM
  ibrav = 0, nat = 15, ntyp = 4
/
ATOMIC_SPECIES
Pm 145.00 Pm.upf
Np 237.00 Np.upf
Tl 204.38 Tl.upf
Te 127.60 Te.upf
ATOMIC_POSITIONS crystal
Pm 0.0000 0.5000 0.5000
Pm 0.5000 0.0000 0.5000
Pm 0.5000 0.5000 0.0000
Np 0.0000 0.0000 0.0000
Tl 0.0000 0.0000 0.5000
Tl 0.0000 0.5000 0.0000
Tl 0.5000 0.0000 0.0000
Te 0.2339 0.2339 0.7463
Te 0.2339 0.7463 0.2339
Te 0.2537 0.7661 0.7661
Te 0.2600 0.2600 0.2600
Te 0.7400 0.7400 0.7400
Te 0.7463 0.2339 0.2339
Te 0.7661 0.2537 0.7661
Te 0.7661 0.7661 0.2537
CELL_PARAMETERS angstrom
4.4962 2.5959 8.2378
-4.4962 2.5959 8.2378
0.0000 -5.1918 8.2378
```

Computed properties:
Total DFT energy (no corrections) ... -4.930 eV per atom
N(E_F) ... 4.99 states/eV/f.u.
SG ... No. 166


3.
The following is a DFT calculation (PBE) of an optimized crystal structure of CdTe2AuN. Values from VASP.

Cell and atoms, written as Quantum ESPRESSO input:
```
&SYSTEM
  ibrav = 0, nat = 5, ntyp = 4
/
ATOMIC_SPECIES
Cd 112.41 Cd.upf
Te 127.60 Te.upf
Au 196.97 Au.upf
N 14.01 N.upf
ATOMIC_POSITIONS crystal
Cd 0.0000 0.0000 0.0000
Te 0.0000 0.5000 0.0000
Te 0.5000 0.0000 0.0000
Au 0.5000 0.5000 0.5000
N 0.0000 0.0000 0.5000
CELL_PARAMETERS angstrom
5.7071 0.0000 0.0000
0.0000 5.7071 0.0000
0.0000 0.0000 3.9684
```

Computed properties:
N(E_F) ... 8.03 states/eV/f.u.
Energy relative to the lowest polymorph listed for this composition ... 0.450 eV/atom
SG ... No. 123


4.
The following is a DFT calculation (PBE) of an optimized crystal structure of Cu3BiS. Values from VASP.

Cell and atoms, written as Quantum ESPRESSO input:
```
&SYSTEM
  ibrav = 0, nat = 5, ntyp = 3
/
ATOMIC_SPECIES
Cu 63.55 Cu.upf
Bi 208.98 Bi.upf
S 32.06 S.upf
ATOMIC_POSITIONS crystal
Cu 0.0000 0.0000 0.5000
Cu 0.0000 0.5000 0.0000
Cu 0.5000 0.0000 0.0000
Bi 0.0000 0.0000 0.0000
S 0.5000 0.5000 0.5000
CELL_PARAMETERS angstrom
4.9975 0.0000 0.0000
0.0000 4.9975 0.0000
0.0000 0.0000 4.9975
```

Computed properties:
N(E_F) ... 3.68 states/eV/f.u.
Energy relative to the lowest polymorph listed for this composition ... 0.761 eV/atom
SG ... No. 221


5.
The following is a DFT calculation (PBE) of an optimized crystal structure of TbHo2Tm4Sc. Values from VASP.

Cell and atoms, written as Quantum ESPRESSO input:
```
&SYSTEM
  ibrav = 0, nat = 8, ntyp = 4
/
ATOMIC_SPECIES
Tb 158.93 Tb.upf
Ho 164.93 Ho.upf
Tm 168.93 Tm.upf
Sc 44.96 Sc.upf
ATOMIC_POSITIONS crystal
Tb 0.0000 0.0000 0.0000
Ho 0.0000 0.0000 0.5000
Ho 0.5000 0.5000 0.0000
Tm 0.0000 0.5000 0.2549
Tm 0.0000 0.5000 0.7451
Tm 0.5000 0.0000 0.2549
Tm 0.5000 0.0000 0.7451
Sc 0.5000 0.5000 0.5000
CELL_PARAMETERS angstrom
4.9159 0.0000 0.0000
0.0000 4.9159 0.0000
0.0000 0.0000 9.8453
```

Computed properties:
Calculated formation energy ... 35 meV/atom
N(E_F) ... 12.01 states/eV/f.u.
SG ... No. 123


6.
The following is a DFT calculation (PBE) of an optimized crystal structure of TcIrW. Values from VASP.

Cell and atoms, written as Quantum ESPRESSO input:
```
&SYSTEM
  ibrav = 0, nat = 6, ntyp = 3
/
ATOMIC_SPECIES
Tc 98.00 Tc.upf
Ir 192.22 Ir.upf
W 183.84 W.upf
ATOMIC_POSITIONS crystal
Tc 0.1972 0.3901 0.1375
Tc 0.8028 0.6099 0.8625
Ir 0.1381 0.2788 0.5281
Ir 0.8619 0.7212 0.4719
W 0.4581 0.9298 0.2001
W 0.5419 0.0702 0.7999
CELL_PARAMETERS angstrom
2.7686 0.0000 0.0000
-1.3781 5.0727 0.0000
-0.0356 -1.6936 6.4380
```

Computed properties:
Calculated formation energy ... -99 meV/atom
N(E_F) ... 2.31 states/eV/f.u.
Energy relative to the lowest polymorph listed for this composition ... 0.000 eV/atom
SG ... No. 2


7.
The following is a DFT calculation (PBE) of an optimized crystal structure of CoPt5Rh4. Values from VASP.

Cell and atoms, written as Quantum ESPRESSO input:
```
&SYSTEM
  ibrav = 0, nat = 10, ntyp = 3
/
ATOMIC_SPECIES
Co 58.93 Co.upf
Pt 195.08 Pt.upf
Rh 102.91 Rh.upf
ATOMIC_POSITIONS crystal
Co 0.0000 0.0000 0.0000
Pt 0.5000 0.5000 0.0955
Pt 0.5000 0.5000 0.2969
Pt 0.5000 0.5000 0.5000
Pt 0.5000 0.5000 0.7031
Pt 0.5000 0.5000 0.9045
Rh 0.0000 0.0000 0.1966
Rh 0.0000 0.0000 0.3990
Rh 0.0000 0.0000 0.6010
Rh 0.0000 0.0000 0.8034
CELL_PARAMETERS angstrom
2.7501 0.0000 0.0000
0.0000 3.8782 0.0000
0.0000 0.0000 13.7453
```

Computed properties:
Calculated formation energy ... -31 meV/atom
N(E_F) ... 15.56 states/eV/f.u.
SG ... No. 47


8.
The following is a DFT calculation (PBE) of an optimized crystal structure of CaScNi2. Values from VASP.

Cell and atoms, written as Quantum ESPRESSO input:
```
&SYSTEM
  ibrav = 0, nat = 4, ntyp = 3
/
ATOMIC_SPECIES
Ca 40.08 Ca.upf
Sc 44.96 Sc.upf
Ni 58.69 Ni.upf
ATOMIC_POSITIONS crystal
Ca 0.0000 0.0000 0.0000
Sc 0.2027 0.2027 0.6204
Ni 0.4505 0.4505 0.4720
Ni 0.7621 0.7621 0.1986
CELL_PARAMETERS angstrom
5.0526 -1.5155 0.0000
5.0526 1.5155 0.0000
-1.1968 0.0000 4.6560
```

Computed properties:
Calculated formation energy ... -72 meV/atom
N(E_F) ... 3.26 states/eV/f.u.
Energy relative to the lowest polymorph listed for this composition ... 0.208 eV/atom
SG ... No. 8


9.
The following is a DFT calculation (PBE) of an optimized crystal structure of BaNb2ReSb. Values from VASP.

Cell and atoms, written as Quantum ESPRESSO input:
```
&SYSTEM
  ibrav = 0, nat = 5, ntyp = 4
/
ATOMIC_SPECIES
Ba 137.33 Ba.upf
Nb 92.91 Nb.upf
Re 186.21 Re.upf
Sb 121.76 Sb.upf
ATOMIC_POSITIONS crystal
Ba 0.0000 0.0000 0.0000
Nb 0.0000 0.5000 0.5000
Nb 0.5000 0.0000 0.5000
Re 0.5000 0.5000 0.0000
Sb 0.0000 0.0000 0.5000
CELL_PARAMETERS angstrom
5.0898 0.0000 0.0000
0.0000 5.0898 0.0000
0.0000 0.0000 5.9774
```

Computed properties:
Total DFT energy (no corrections) ... -5.578 eV per atom
N(E_F) ... 9.83 states/eV/f.u.
SG ... No. 123


10.
The following is a DFT calculation (PBE) of an optimized crystal structure of LaCdIn. Values from VASP.

Cell and atoms, written as Quantum ESPRESSO input:
```
&SYSTEM
  ibrav = 0, nat = 6, ntyp = 3
/
ATOMIC_SPECIES
La 138.91 La.upf
Cd 112.41 Cd.upf
In 114.82 In.upf
ATOMIC_POSITIONS crystal
La 0.2500 0.0000 0.1669
La 0.7500 0.0000 0.8331
Cd 0.0000 0.5000 0.5000
Cd 0.5000 0.5000 0.5000
In 0.2500 0.5000 0.8106
In 0.7500 0.5000 0.1894
CELL_PARAMETERS angstrom
6.0661 0.0000 0.0000
0.0000 3.3855 0.0000
0.0000 0.0000 8.3022
```

Computed properties:
Calculated formation energy ... -333 meV/atom
N(E_F) ... 2.67 states/eV/f.u.
SG ... No. 51


11.
The following is a DFT calculation (PBE) of an optimized crystal structure of Cd2PRh. Values from VASP.

Cell and atoms, written as Quantum ESPRESSO input:
```
&SYSTEM
  ibrav = 0, nat = 4, ntyp = 3
/
ATOMIC_SPECIES
Cd 112.41 Cd.upf
P 30.97 P.upf
Rh 102.91 Rh.upf
ATOMIC_POSITIONS crystal
Cd 0.0000 0.0000 0.0000
Cd 0.5000 0.5000 0.2987
P 0.0000 0.0000 0.5917
Rh 0.5000 0.5000 0.7359
CELL_PARAMETERS angstrom
3.0325 0.0000 0.0000
0.0000 3.0325 0.0000
0.0000 0.0000 7.9367
```

Computed properties:
Calculated formation energy ... -168 meV/atom
N(E_F) ... 2.85 states/eV/f.u.
SG ... No. 99


12.
The following is a DFT calculation (PBE) of an optimized crystal structure of LiIr2Ru. Values from VASP.

Cell and atoms, written as Quantum ESPRESSO input:
```
&SYSTEM
  ibrav = 0, nat = 4, ntyp = 3
/
ATOMIC_SPECIES
Li 6.94 Li.upf
Ir 192.22 Ir.upf
Ru 101.07 Ru.upf
ATOMIC_POSITIONS crystal
Li 0.0000 0.0000 0.0000
Ir 0.4969 0.4969 0.0000
Ir 0.7699 0.2699 0.5000
Ru 0.2309 0.7309 0.5000
CELL_PARAMETERS angstrom
-1.4313 2.1808 4.2322
1.4313 -2.1808 4.2322
1.4313 2.1808 -4.2322
```

Computed properties:
Calculated formation energy ... 86 meV/atom
N(E_F) ... 3.40 states/eV/f.u.
Energy relative to the lowest polymorph listed for this composition ... 0.112 eV/atom
SG ... No. 44


13.
The following is a DFT calculation (PBE) of an optimized crystal structure of Na2GaSbAs. Values from VASP.

Cell and atoms, written as Quantum ESPRESSO input:
```
&SYSTEM
  ibrav = 0, nat = 5, ntyp = 4
/
ATOMIC_SPECIES
Na 22.99 Na.upf
Ga 69.72 Ga.upf
Sb 121.76 Sb.upf
As 74.92 As.upf
ATOMIC_POSITIONS crystal
Na 0.0000 0.5000 0.0000
Na 0.5000 0.0000 0.0000
Ga 0.0000 0.0000 0.0000
Sb 0.0000 0.0000 0.5000
As 0.5000 0.5000 0.5000
CELL_PARAMETERS angstrom
5.3902 0.0000 0.0000
0.0000 5.3902 0.0000
0.0000 0.0000 5.1600
```

Computed properties:
Total DFT energy (no corrections) ... -2.497 eV per atom
N(E_F) ... 4.16 states/eV/f.u.
SG ... No. 123


14.
The following is a DFT calculation (PBE) of an optimized crystal structure of Zn2NiGeH. Values from VASP.

Cell and atoms, written as Quantum ESPRESSO input:
```
&SYSTEM
  ibrav = 0, nat = 5, ntyp = 4
/
ATOMIC_SPECIES
Zn 65.41 Zn.upf
Ni 58.69 Ni.upf
Ge 72.64 Ge.upf
H 1.01 H.upf
ATOMIC_POSITIONS crystal
Zn 0.0000 0.5000 0.0000
Zn 0.5000 0.0000 0.0000
Ni 0.0000 0.0000 0.5000
Ge 0.0000 0.0000 0.0000
H 0.5000 0.5000 0.5000
CELL_PARAMETERS angstrom
4.7835 0.0000 0.0000
0.0000 4.7835 0.0000
0.0000 0.0000 4.4639
```

Computed properties:
Total DFT energy (no corrections) ... -2.401 eV per atom
N(E_F) ... 1.02 states/eV/f.u.
SG ... No. 123


15.
The following is a DFT calculation (PBE) of an optimized crystal structure of ZrBeCu3. Values from VASP.

Cell and atoms, written as Quantum ESPRESSO input:
```
&SYSTEM
  ibrav = 0, nat = 5, ntyp = 3
/
ATOMIC_SPECIES
Zr 91.22 Zr.upf
Be 9.01 Be.upf
Cu 63.55 Cu.upf
ATOMIC_POSITIONS crystal
Zr 0.0000 0.0000 0.0000
Be 0.5000 0.5000 0.5000
Cu 0.0000 0.5000 0.5000
Cu 0.5000 0.0000 0.5000
Cu 0.5000 0.5000 0.0000
CELL_PARAMETERS angstrom
4.1145 0.0000 0.0000
0.0000 4.1145 0.0000
0.0000 0.0000 4.1145
```

Computed properties:
Calculated formation energy ... 110 meV/atom
N(E_F) ... 5.25 states/eV/f.u.
Energy relative to the lowest polymorph listed for this composition ... 0.000 eV/atom
SG ... No. 221


16.
The following is a DFT calculation (PBE) of an optimized crystal structure of AcLuRuRh. Values from VASP.

Cell and atoms, written as Quantum ESPRESSO input:
```
&SYSTEM
  ibrav = 0, nat = 4, ntyp = 4
/
ATOMIC_SPECIES
Ac 227.00 Ac.upf
Lu 174.97 Lu.upf
Ru 101.07 Ru.upf
Rh 102.91 Rh.upf
ATOMIC_POSITIONS crystal
Ac 0.0000 0.0000 0.0000
Lu 0.5000 0.5000 0.5000
Ru 0.7500 0.7500 0.7500
Rh 0.2500 0.2500 0.2500
CELL_PARAMETERS angstrom
0.0000 3.5210 3.5210
3.5210 0.0000 3.5210
3.5210 3.5210 0.0000
```

Computed properties:
Calculated formation energy ... -395 meV/atom
N(E_F) ... 2.61 states/eV/f.u.
SG ... No. 216


17.
The following is a DFT calculation (PBE) of an optimized crystal structure of NaPrSBr. Values from VASP.

Cell and atoms, written as Quantum ESPRESSO input:
```
&SYSTEM
  ibrav = 0, nat = 4, ntyp = 4
/
ATOMIC_SPECIES
Na 22.99 Na.upf
Pr 140.91 Pr.upf
S 32.06 S.upf
Br 79.90 Br.upf
ATOMIC_POSITIONS crystal
Na 0.0000 0.0000 0.0000
Pr 0.1932 0.1932 0.1932
S 0.5992 0.5992 0.5992
Br 0.7686 0.7686 0.7686
CELL_PARAMETERS angstrom
2.0180 1.1651 7.6006
-2.0180 1.1651 7.6006
0.0000 -2.3302 7.6006
```

Computed properties:
Total DFT energy (no corrections) ... -4.503 eV per atom
N(E_F) ... 2.17 states/eV/f.u.
SG ... No. 160


18.
The following is a DFT calculation (PBE) of an optimized crystal structure of Ho6HgRh5. Values from VASP.

Cell and atoms, written as Quantum ESPRESSO input:
```
&SYSTEM
  ibrav = 0, nat = 12, ntyp = 3
/
ATOMIC_SPECIES
Ho 164.93 Ho.upf
Hg 200.59 Hg.upf
Rh 102.91 Rh.upf
ATOMIC_POSITIONS crystal
Ho 0.0724 0.5842 0.3279
Ho 0.2363 0.7637 0.0000
Ho 0.4158 0.9276 0.6721
Ho 0.5842 0.0724 0.3279
Ho 0.7637 0.2363 0.0000
Ho 0.9276 0.4158 0.6721
Hg 0.5000 0.5000 0.5000
Rh 0.0000 0.0000 0.5000
Rh 0.1663 0.1663 0.1667
Rh 0.3330 0.3330 0.8332
Rh 0.6670 0.6670 0.1668
Rh 0.8337 0.8337 0.8333
CELL_PARAMETERS angstrom
7.7029 -3.4830 0.0000
7.7029 3.4830 0.0000
-1.5228 0.0000 4.6326
```

Computed properties:
Calculated formation energy ... -805 meV/atom
N(E_F) ... 8.35 states/eV/f.u.
SG ... No. 12


19.
The following is a DFT calculation (PBE) of an optimized crystal structure of MgZrI3. Values from VASP.

Cell and atoms, written as Quantum ESPRESSO input:
```
&SYSTEM
  ibrav = 0, nat = 5, ntyp = 3
/
ATOMIC_SPECIES
Mg 24.30 Mg.upf
Zr 91.22 Zr.upf
I 126.90 I.upf
ATOMIC_POSITIONS crystal
Mg 0.0000 0.0000 0.0000
Zr 0.5000 0.5000 0.5000
I 0.0000 0.5000 0.5000
I 0.5000 0.0000 0.5000
I 0.5000 0.5000 0.0000
CELL_PARAMETERS angstrom
5.7830 0.0000 0.0000
0.0000 5.7830 0.0000
0.0000 0.0000 5.7830
```

Computed properties:
N(E_F) ... 4.65 states/eV/f.u.
Energy relative to the lowest polymorph listed for this composition ... 0.000 eV/atom
SG ... No. 221


20.
The following is a DFT calculation (PBE) of an optimized crystal structure of HgRu2Pt. Values from VASP.

Cell and atoms, written as Quantum ESPRESSO input:
```
&SYSTEM
  ibrav = 0, nat = 4, ntyp = 3
/
ATOMIC_SPECIES
Hg 200.59 Hg.upf
Ru 101.07 Ru.upf
Pt 195.08 Pt.upf
ATOMIC_POSITIONS crystal
Hg 0.0000 0.0000 0.0000
Ru 0.2904 0.5000 0.7340
Ru 0.7096 0.5000 0.2660
Pt 0.5000 0.0000 0.5000
CELL_PARAMETERS angstrom
2.7860 0.0000 0.0000
0.0000 4.7781 0.0000
-0.3590 0.0000 4.9219
```

Computed properties:
Calculated formation energy ... 528 meV/atom
N(E_F) ... 4.42 states/eV/f.u.
SG ... No. 10